No. 1
Entry from Alexandria: HgPd2I8 after structural relaxation (PBE).

Output
For the total moment, the calculation gives 0.0 μB/f.u. The calculation puts the raw formation energy at -0.0062 eV/atom. For the excess energy over the best structure of this formula in the dataset, the calculation gives 64.5 meV/atom.

POSCAR file:
```
HgPd2I8
1.0
-1.308 2.383 7.305
-4.382 -5.863 3.102
5.170 -4.252 4.287
Hg Pd I
1 2 8
Cartesian
0.000 0.000 0.000
-0.315 -1.087 4.014
-0.205 -6.646 10.680
2.252 -1.687 9.095
3.161 -5.045 6.335
-0.667 -0.897 6.590
0.147 -6.835 8.104
-3.681 -2.688 8.359
-2.772 -6.045 5.599
0.086 -3.734 4.380
-0.606 -3.999 10.314
```


No. 2
Entry from Alexandria: HgPd2I2 after structural relaxation (PBE).

Output
For the total moment, the calculation gives 0.0 μB/f.u. The calculation puts the raw formation energy at 0.0543 eV/atom. For the excess energy over the best structure of this formula in the dataset, the calculation gives 82.5 meV/atom.

POSCAR file:
```
HgPd2I2
1.0
-0.746 -4.168 0.163
3.073 -0.437 2.885
-4.140 -1.126 7.352
I Hg Pd
2 1 2
Cartesian
-0.324 -1.973 3.158
-1.489 -3.759 7.241
0.000 0.000 0.000
-1.861 -3.799 4.519
0.048 -1.933 5.880
```


No. 3
Entry from Alexandria: Hg12Pd3I5 after structural relaxation (PBE).

Output
For the total moment, the calculation gives 0.0 μB/f.u. The calculation puts the raw formation energy at -0.0077 eV/atom.

POSCAR file:
```
Hg12Pd3I5
1.0
15.208 0.000 0.000
-5.069 14.338 0.000
-5.069 -7.169 12.417
Pd I Hg
12 20 48
Cartesian
8.871 4.481 1.552
8.871 9.857 1.552
-1.267 6.273 7.761
1.267 -0.896 4.656
11.406 0.000 3.104
1.267 7.169 3.104
3.802 0.000 9.313
-6.337 7.169 9.313
3.802 8.065 7.761
6.337 0.896 4.656
-3.802 -2.688 10.865
-3.802 2.688 10.865
-1.267 3.585 3.104
-2.535 7.169 0.000
0.000 0.000 0.000
3.802 2.688 1.552
5.069 -3.585 6.209
5.069 7.169 0.000
-3.802 8.065 4.656
6.337 -4.481 10.865
6.337 6.273 4.656
1.267 -3.585 9.313
3.802 10.754 3.104
2.535 3.585 6.209
7.604 0.000 0.000
-2.535 -3.585 6.209
-1.267 0.896 7.761
-1.267 11.650 1.552
-5.069 3.585 6.209
8.871 -0.896 7.761
1.267 4.481 10.865
6.337 3.585 9.313
10.366 1.317 1.032
-0.228 5.137 5.584
10.838 3.491 3.057
6.905 2.683 1.657
2.213 6.000 8.328
10.289 6.667 2.120
-0.699 7.977 4.714
-4.370 11.655 1.657
0.321 8.338 8.328
7.454 7.671 2.120
7.376 3.349 4.552
7.376 13.021 1.032
-4.748 6.628 7.241
2.685 5.584 1.495
-4.842 10.989 4.552
2.307 -2.032 6.833
-0.321 0.628 3.152
2.685 9.256 0.625
6.905 10.847 3.057
-0.150 5.082 0.625
-2.856 7.797 9.265
3.234 6.361 4.714
7.283 7.710 7.241
5.220 -1.585 10.922
1.836 0.808 7.703
-2.213 -0.541 5.177
-0.150 8.754 1.495
-1.836 -3.678 9.360
7.925 -0.628 3.152
5.220 2.087 11.792
2.384 -2.087 11.792
2.762 9.201 5.584
5.390 6.541 9.265
9.911 -3.820 7.865
9.817 0.541 5.177
-2.307 -5.852 11.385
2.384 1.585 10.922
4.748 -1.169 4.089
-2.384 -0.502 10.297
-2.307 3.820 7.865
9.439 -4.486 10.760
5.768 -0.808 7.703
-1.836 4.486 10.760
-5.220 0.502 10.297
2.856 1.169 4.089
-5.768 3.678 9.360
5.297 2.032 6.833
-5.297 5.852 11.385
```


No. 4
Entry from Alexandria: Hg5Pd3I12 after structural relaxation (PBE).

Output
For the total moment, the calculation gives 0.0 μB/f.u. The calculation puts the raw formation energy at -0.0558 eV/atom.

POSCAR file:
```
Hg5Pd3I12
1.0
-5.895 -14.102 -4.681
11.104 -2.339 11.258
-11.799 9.000 5.942
Pd Hg I
12 20 48
Cartesian
-1.732 -10.328 1.454
1.695 -12.968 5.091
-1.257 -1.417 10.402
-4.510 -0.443 2.465
-6.720 -10.381 -1.203
1.780 -4.500 6.767
-8.369 -2.941 5.753
0.130 2.941 13.722
-2.079 -6.998 10.054
-5.333 -6.023 2.117
-8.285 5.528 7.429
-4.858 2.888 11.065
0.477 -0.390 5.122
5.552 -1.169 5.629
0.000 0.000 0.000
-0.909 -4.748 1.802
-8.847 -2.551 0.631
2.605 -8.220 3.289
3.167 -0.142 10.087
-13.357 -2.994 3.096
-1.906 -8.663 5.754
-9.672 1.170 4.108
3.082 -8.610 8.411
-3.295 -3.720 6.260
-2.948 -7.051 -2.340
-5.899 4.500 2.971
-4.684 1.223 6.765
6.768 -4.447 9.423
-0.347 3.331 8.600
-9.756 -7.299 2.433
-5.680 -2.693 10.717
-7.067 -7.051 7.397
-13.108 -0.296 4.995
-0.306 -3.591 5.413
-1.176 2.406 5.749
-3.709 -5.340 0.141
-3.239 -1.773 8.683
6.091 -0.745 8.662
0.981 -2.064 11.660
-2.611 -1.425 0.904
-11.426 -4.284 0.740
-0.457 -8.431 2.789
-3.149 -10.869 3.624
-7.801 -5.231 10.698
0.111 0.269 8.887
-9.588 3.225 7.351
-0.411 -12.129 6.458
-9.657 -2.099 3.598
-5.307 -12.418 -2.134
1.554 -7.009 5.952
-8.870 -8.855 -0.963
2.804 -2.059 6.780
-12.063 3.455 4.044
-3.295 -6.438 7.770
-0.722 -8.915 8.833
-2.013 -12.718 0.350
-3.295 -1.002 4.750
-5.868 1.475 3.686
-4.576 5.278 12.170
2.280 1.415 13.483
5.473 -10.896 8.476
-9.394 -5.382 5.740
-8.143 -0.432 6.567
3.068 -5.341 8.921
-1.282 4.977 14.653
-6.178 4.689 6.062
-6.701 -7.709 3.632
1.212 -2.209 1.822
2.999 -10.665 5.169
4.836 -3.157 11.779
-6.133 0.990 9.730
-3.441 3.428 8.895
-3.979 -6.015 11.615
-7.571 -5.377 0.859
-2.881 -2.101 12.378
-12.680 -6.695 3.858
-3.351 -5.667 3.836
-5.414 -9.847 6.770
-6.284 -3.850 7.106
6.518 -7.144 7.525
```


No. 5
Entry from Alexandria: Pr6HgPd2I3 after structural relaxation (PBE).

Output
For the total moment, the calculation gives 0.0 μB/f.u. The calculation puts the raw formation energy at -0.7707 eV/atom.

POSCAR file:
```
Pr6HgPd2I3
1.0
-2.330 6.002 -3.890
-4.547 -3.100 5.128
5.339 3.870 5.218
Pr Hg Pd I
6 1 2 3
Cartesian
-0.553 6.868 3.490
-3.839 2.839 1.921
-0.985 -0.097 2.966
-1.335 3.659 6.670
2.302 3.933 4.535
-0.203 3.112 -0.214
0.000 0.000 0.000
-3.812 -0.084 2.140
-3.064 2.986 -0.902
-1.523 0.287 6.298
-0.014 6.484 0.158
-0.769 3.386 3.228
```


No. 6
Entry from Alexandria: RbHgPdI5 after structural relaxation (PBE).

Output
For the total moment, the calculation gives 0.0 μB/f.u. The calculation puts the raw formation energy at -0.5413 eV/atom.

POSCAR file:
```
RbHgPdI5
1.0
8.906 0.865 0.949
-1.773 8.771 0.949
-1.825 -2.465 8.919
Rb Hg Pd I
2 2 2 10
Cartesian
1.877 5.115 3.179
3.432 2.056 7.638
5.374 2.526 3.179
-0.065 4.645 7.638
-0.912 -1.232 4.460
0.000 0.000 0.000
-1.260 7.438 3.179
6.569 -0.267 7.638
8.097 3.047 2.207
-2.788 4.124 8.610
5.670 -0.230 4.150
-0.362 7.401 6.667
4.946 4.392 5.208
0.363 2.779 5.609
3.465 2.391 1.149
1.844 4.780 9.668
```


No. 7
Entry from Alexandria: Re2HgPdI after structural relaxation (PBE).

Output
For the total moment, the calculation gives 7.7 μB/f.u. The calculation puts the raw formation energy at 2.1129 eV/atom.

POSCAR file:
```
Re2HgPdI
1.0
5.061 0.000 0.000
0.000 5.426 0.000
0.000 0.000 5.061
I Re Hg Pd
1 2 1 1
Cartesian
0.000 2.713 0.000
0.000 0.000 2.531
2.531 0.000 0.000
2.531 2.713 2.531
0.000 0.000 0.000
```


No. 8
Entry from Alexandria: HgSb2PdI after structural relaxation (PBE).

Output
For the total moment, the calculation gives 0.0 μB/f.u. The calculation puts the raw formation energy at 0.9987 eV/atom. For the excess energy over the best structure of this formula in the dataset, the calculation gives 702.5 meV/atom.

POSCAR file:
```
HgSb2PdI
1.0
-3.206 -3.730 -2.466
-1.766 -1.731 4.915
-4.457 3.966 -0.204
I Sb Hg Pd
1 2 1 1
Cartesian
-2.228 1.983 -0.102
-0.883 -0.866 2.458
-1.603 -1.865 -1.233
0.000 0.000 0.000
-4.715 -0.748 1.122
```


No. 9
Entry from Alexandria: HgSbPdI2 after structural relaxation (PBE).

Output
For the total moment, the calculation gives 0.0 μB/f.u. The calculation puts the raw formation energy at 0.1445 eV/atom. For the excess energy over the best structure of this formula in the dataset, the calculation gives 0.0 meV/atom.

POSCAR file:
```
HgSbPdI2
1.0
5.721 0.000 0.000
0.000 5.721 0.000
0.000 0.000 5.124
I Sb Hg Pd
2 1 1 1
Cartesian
0.000 2.860 0.000
2.860 0.000 0.000
0.000 0.000 2.562
2.860 2.860 2.562
0.000 0.000 0.000
```


No. 10
Entry from Alexandria: HgSb2PdI after structural relaxation (PBE).

Output
For the total moment, the calculation gives 0.6 μB/f.u. The calculation puts the raw formation energy at 0.2963 eV/atom. For the excess energy over the best structure of this formula in the dataset, the calculation gives 0.0 meV/atom.

POSCAR file:
```
HgSb2PdI
1.0
5.266 0.000 0.000
0.000 5.266 0.000
0.000 0.000 5.685
I Sb Hg Pd
1 2 1 1
Cartesian
0.000 0.000 2.843
0.000 2.633 0.000
2.633 0.000 0.000
2.633 2.633 2.843
0.000 0.000 0.000
```


No. 11
Entry from Alexandria: HgSbPdI2 after structural relaxation (PBE).

Output
For the total moment, the calculation gives 0.0 μB/f.u. The calculation puts the raw formation energy at 0.4763 eV/atom. For the excess energy over the best structure of this formula in the dataset, the calculation gives 331.8 meV/atom.

POSCAR file:
```
HgSbPdI2
1.0
6.015 0.000 0.000
0.000 5.668 0.000
0.000 0.000 6.015
I Sb Hg Pd
2 1 1 1
Cartesian
0.000 0.000 3.007
3.007 0.000 0.000
0.000 0.000 0.000
0.000 2.834 0.000
3.007 2.834 3.007
```


No. 12
Entry from Alexandria: SnHg2PdI after structural relaxation (PBE).

Output
For the total moment, the calculation gives 0.0 μB/f.u. The calculation puts the raw formation energy at -0.1347 eV/atom.

POSCAR file:
```
SnHg2PdI
1.0
-2.298 -0.070 4.840
2.469 -4.625 1.106
4.084 2.654 1.978
I Hg Pd Sn
1 2 1 1
Cartesian
2.128 -1.021 3.962
1.235 -2.312 0.553
-1.149 -0.035 2.420
0.000 0.000 0.000
2.042 1.327 0.989
```